NaEuCdPt: optimized geometry, PBE.

Results
formation enthalpy at 0 K: -396.7 meV/atom
DOS at the Fermi energy: 32.27 states/eV/cell
size of the total moment: 7.079 μB per formula unit
crystal system: cubic
total energy: -80.5 eV/cell

Cell and atoms, written as CIF:
```
data_NaEuCdPt
_chemical_formula_sum 'Na4 Eu4 Cd4 Pt4'
_symmetry_space_group_name_H-M 'F -4 3 m'
_symmetry_Int_Tables_number 216
_symmetry_space_group_name_Hall 'F -4 2 3'
_cell_length_a 7.133
_cell_length_b 7.133
_cell_length_c 7.133
_cell_angle_alpha 90.00
_cell_angle_beta 90.00
_cell_angle_gamma 90.00
loop_
_atom_site_label
_atom_site_type_symbol
_atom_site_fract_x
_atom_site_fract_y
_atom_site_fract_z
_atom_site_occupancy
Na1 Na 0.000 0.000 0.000 1
Eu1 Eu 0.250 0.250 0.250 1
Cd1 Cd 0.250 0.250 0.750 1
Pt1 Pt 0.000 0.000 0.500 1
```

***

Ac4SiAs3: optimized geometry, PBE.

Results
DOS at the Fermi energy: 6.64 states/eV/cell
size of the total moment: 0.000 μB per formula unit
crystal system: cubic
energy relative to the elements, uncorrected: -1.177 eV/atom
total energy: -45.2 eV/cell

Cell and atoms, written as CIF:
```
data_Ac4SiAs3
_chemical_formula_sum 'Ac4 Si1 As3'
_symmetry_space_group_name_H-M 'P m -3 m'
_symmetry_Int_Tables_number 221
_symmetry_space_group_name_Hall '-P 4 2 3'
_cell_length_a 6.442
_cell_length_b 6.442
_cell_length_c 6.442
_cell_angle_alpha 90.00
_cell_angle_beta 90.00
_cell_angle_gamma 90.00
loop_
_atom_site_label
_atom_site_type_symbol
_atom_site_fract_x
_atom_site_fract_y
_atom_site_fract_z
_atom_site_occupancy
Ac1 Ac 0.000 0.000 0.000 1
Ac2 Ac 0.000 0.500 0.500 1
Si1 Si 0.500 0.500 0.500 1
As1 As 0.000 0.000 0.500 1
```

***

Nd2HoRu: optimized geometry, PBE.

Results
formation enthalpy at 0 K: -18.1 meV/atom
DOS at the Fermi energy: 5.52 states/eV/cell
size of the total moment: 0.001 μB per formula unit
energy relative to the lowest polymorph listed for this composition: 210 meV/atom
crystal system: tetragonal
total energy: -23.5 eV/cell

Cell and atoms, written as CIF:
```
data_Nd2HoRu
_chemical_formula_sum 'Nd2 Ho1 Ru1'
_symmetry_space_group_name_H-M 'P 4/m m m'
_symmetry_Int_Tables_number 123
_symmetry_space_group_name_Hall '-P 4 2'
_cell_length_a 3.515
_cell_length_b 3.515
_cell_length_c 9.185
_cell_angle_alpha 90.00
_cell_angle_beta 90.00
_cell_angle_gamma 90.00
loop_
_atom_site_label
_atom_site_type_symbol
_atom_site_fract_x
_atom_site_fract_y
_atom_site_fract_z
_atom_site_occupancy
Nd1 Nd 0.000 0.000 0.188 1
Ho1 Ho 0.500 0.500 0.500 1
Ru1 Ru 0.500 0.500 0.000 1
```

***

CsSbTeH: optimized geometry, PBE.

Results
DOS at the Fermi energy: 0.35 states/eV/cell
size of the total moment: 0.000 μB per formula unit
energy relative to the lowest polymorph listed for this composition: 197 meV/atom
crystal system: triclinic
total energy: -11.9 eV/cell

Cell and atoms, written as CIF:
```
data_CsSbTeH
_chemical_formula_sum 'Cs1 Sb1 Te1 H1'
_symmetry_space_group_name_H-M 'P 1'
_symmetry_Int_Tables_number 1
_cell_length_a 4.039
_cell_length_b 5.755
_cell_length_c 6.599
_cell_angle_alpha 115.30
_cell_angle_beta 91.25
_cell_angle_gamma 90.40
loop_
_symmetry_equiv_pos_as_xyz
'x,y,z'
loop_
_atom_site_label
_atom_site_type_symbol
_atom_site_fract_x
_atom_site_fract_y
_atom_site_fract_z
_atom_site_occupancy
Cs1 Cs 0.000 0.000 0.000 1
Sb1 Sb 0.469 0.716 0.423 1
Te1 Te 0.553 0.294 0.583 1
H1 H 0.173 0.350 0.700 1
```

***

HfTlRh3: optimized geometry, PBE.

Results
formation enthalpy at 0 K: 585.6 meV/atom
DOS at the Fermi energy: 0.37 states/eV/cell
size of the total moment: 0.000 μB per formula unit
energy relative to the lowest polymorph listed for this composition: 0 meV/atom
crystal system: cubic
total energy: -31.4 eV/cell

Cell and atoms, written as CIF:
```
data_HfTlRh3
_chemical_formula_sum 'Hf1 Tl1 Rh3'
_symmetry_space_group_name_H-M 'P m -3 m'
_symmetry_Int_Tables_number 221
_symmetry_space_group_name_Hall '-P 4 2 3'
_cell_length_a 4.807
_cell_length_b 4.807
_cell_length_c 4.807
_cell_angle_alpha 90.00
_cell_angle_beta 90.00
_cell_angle_gamma 90.00
loop_
_atom_site_label
_atom_site_type_symbol
_atom_site_fract_x
_atom_site_fract_y
_atom_site_fract_z
_atom_site_occupancy
Hf1 Hf 0.000 0.000 0.000 1
Tl1 Tl 0.500 0.500 0.500 1
Rh1 Rh 0.000 0.000 0.500 1
```

***

AgTe2As: optimized geometry, PBE.

Results
DOS at the Fermi energy: 2.14 states/eV/cell
size of the total moment: 0.000 μB per formula unit
crystal system: monoclinic
energy relative to the elements, uncorrected: 0.043 eV/atom
total energy: -27.2 eV/cell

Cell and atoms, written as CIF:
```
data_AgTe2As
_chemical_formula_sum 'Ag2 Te4 As2'
_symmetry_space_group_name_H-M 'C 1 m 1'
_symmetry_Int_Tables_number 8
_cell_length_a 13.770
_cell_length_b 4.118
_cell_length_c 4.156
_cell_angle_alpha 90.00
_cell_angle_beta 103.13
_cell_angle_gamma 90.00
loop_
_symmetry_equiv_pos_as_xyz
'x,y,z'
'x,-y,z'
'x+1/2,y+1/2,z'
'x+1/2,-y+1/2,z'
loop_
_atom_site_label
_atom_site_type_symbol
_atom_site_fract_x
_atom_site_fract_y
_atom_site_fract_z
_atom_site_occupancy
Ag1 Ag 0.000 0.000 0.000 1
Te1 Te 0.007 0.500 0.497 1
Te2 Te 0.270 0.500 0.753 1
As1 As 0.308 0.000 0.335 1
```

***

CePuMnIn: optimized geometry, PBE.

Results
formation enthalpy at 0 K: 181.4 meV/atom
DOS at the Fermi energy: 44.47 states/eV/cell
size of the total moment: 8.688 μB per formula unit
crystal system: cubic
total energy: -125.8 eV/cell

Cell and atoms, written as CIF:
```
data_CePuMnIn
_chemical_formula_sum 'Ce4 Pu4 Mn4 In4'
_symmetry_space_group_name_H-M 'F -4 3 m'
_symmetry_Int_Tables_number 216
_symmetry_space_group_name_Hall 'F -4 2 3'
_cell_length_a 7.063
_cell_length_b 7.063
_cell_length_c 7.063
_cell_angle_alpha 90.00
_cell_angle_beta 90.00
_cell_angle_gamma 90.00
loop_
_atom_site_label
_atom_site_type_symbol
_atom_site_fract_x
_atom_site_fract_y
_atom_site_fract_z
_atom_site_occupancy
Ce1 Ce 0.000 0.000 0.000 1
Pu1 Pu 0.250 0.250 0.250 1
Mn1 Mn 0.250 0.250 0.750 1
In1 In 0.000 0.000 0.500 1
```

***

KAuBr4: optimized geometry, PBE.

Results
DOS at the Fermi energy: 0.00 states/eV/cell
size of the total moment: 0.000 μB per formula unit
crystal system: monoclinic
energy relative to the elements, uncorrected: -0.716 eV/atom
total energy: -30.7 eV/cell

Cell and atoms, written as CIF:
```
data_KAuBr4
_chemical_formula_sum 'K2 Au2 Br8'
_symmetry_space_group_name_H-M 'P 1 21/c 1'
_symmetry_Int_Tables_number 14
_cell_length_a 7.450
_cell_length_b 6.202
_cell_length_c 10.650
_cell_angle_alpha 90.00
_cell_angle_beta 121.56
_cell_angle_gamma 90.00
loop_
_symmetry_equiv_pos_as_xyz
'x,y,z'
'-x,-y,-z'
'-x,y+1/2,-z+1/2'
'x,-y+1/2,z+1/2'
loop_
_atom_site_label
_atom_site_type_symbol
_atom_site_fract_x
_atom_site_fract_y
_atom_site_fract_z
_atom_site_occupancy
K1 K 0.000 0.000 0.000 1
Au1 Au 0.500 0.000 0.500 1
Br1 Br 0.112 0.021 0.371 1
Br2 Br 0.470 0.706 0.332 1
```

***

AlN: optimized geometry, PBE.

Results
DOS at the Fermi energy: 2.37 states/eV/cell
size of the total moment: 0.000 μB per formula unit
crystal system: monoclinic
energy relative to the elements, uncorrected: 0.200 eV/atom
total energy: -46.7 eV/cell

Cell and atoms, written as CIF:
```
data_AlN
_chemical_formula_sum 'Al4 N4'
_symmetry_space_group_name_H-M 'C 1 m 1'
_symmetry_Int_Tables_number 8
_cell_length_a 5.082
_cell_length_b 2.802
_cell_length_c 7.098
_cell_angle_alpha 90.00
_cell_angle_beta 90.93
_cell_angle_gamma 90.00
loop_
_symmetry_equiv_pos_as_xyz
'x,y,z'
'x,-y,z'
'x+1/2,y+1/2,z'
'x+1/2,-y+1/2,z'
loop_
_atom_site_label
_atom_site_type_symbol
_atom_site_fract_x
_atom_site_fract_y
_atom_site_fract_z
_atom_site_occupancy
Al1 Al 0.000 0.000 0.000 1
Al2 Al 0.031 0.500 0.657 1
N1 N 0.013 0.500 0.218 1
N2 N 0.017 0.500 0.386 1
```

***

Rb3Zn2F8: optimized geometry, PBE.

Results
DOS at the Fermi energy: 52.83 states/eV/cell
size of the total moment: 1.244 μB per formula unit
crystal system: trigonal
energy relative to the elements, uncorrected: -2.348 eV/atom
total energy: -152.8 eV/cell

Cell and atoms, written as CIF:
```
data_Rb3Zn2F8
_chemical_formula_sum 'Rb9 Zn6 F24'
_symmetry_space_group_name_H-M 'R -3 m'
_symmetry_Int_Tables_number 166
_symmetry_space_group_name_Hall '-R 3 2"'
_cell_length_a 6.1837
_cell_length_b 6.1837
_cell_length_c 22.7702
_cell_angle_alpha 90.00
_cell_angle_beta 90.00
_cell_angle_gamma 120.00
loop_
_atom_site_label
_atom_site_type_symbol
_atom_site_fract_x
_atom_site_fract_y
_atom_site_fract_z
_atom_site_occupancy
Rb1 Rb 0.0000 0.0000 0.0000 1
Rb2 Rb 0.0000 0.0000 0.2018 1
Zn1 Zn 0.0000 0.0000 0.4056 1
F1 F 0.0000 0.0000 0.3226 1
F2 F 0.0014 0.5007 0.2317 1
```

***

ThSi6Pd12: optimized geometry, PBE.

Results
DOS at the Fermi energy: 25.72 states/eV/cell
size of the total moment: 0.000 μB per formula unit
crystal system: trigonal
energy relative to the elements, uncorrected: -0.636 eV/atom
total energy: -343.1 eV/cell

Cell and atoms, written as CIF:
```
data_ThSi6Pd12
_chemical_formula_sum 'Th3 Si18 Pd36'
_symmetry_space_group_name_H-M 'R -3 m'
_symmetry_Int_Tables_number 166
_symmetry_space_group_name_Hall '-R 3 2"'
_cell_length_a 11.2515
_cell_length_b 11.2515
_cell_length_c 8.3846
_cell_angle_alpha 90.00
_cell_angle_beta 90.00
_cell_angle_gamma 120.00
loop_
_atom_site_label
_atom_site_type_symbol
_atom_site_fract_x
_atom_site_fract_y
_atom_site_fract_z
_atom_site_occupancy
Th1 Th 0.0000 0.0000 0.0000 1
Si1 Si 0.0384 0.5192 0.2689 1
Pd1 Pd 0.0000 0.3758 0.5000 1
Pd2 Pd 0.0866 0.1732 0.3444 1
```

***

SrY2TmS4: optimized geometry, PBE.

Results
DOS at the Fermi energy: 2.66 states/eV/cell
size of the total moment: 0.000 μB per formula unit
crystal system: monoclinic
energy relative to the elements, uncorrected: -1.973 eV/atom
total energy: -51.4 eV/cell

Cell and atoms, written as CIF:
```
data_SrY2TmS4
_chemical_formula_sum 'Sr1 Y2 Tm1 S4'
_symmetry_space_group_name_H-M 'P 1 2/m 1'
_symmetry_Int_Tables_number 10
_cell_length_a 6.894
_cell_length_b 3.953
_cell_length_c 6.894
_cell_angle_alpha 90.00
_cell_angle_beta 109.07
_cell_angle_gamma 90.00
loop_
_symmetry_equiv_pos_as_xyz
'x,y,z'
'-x,-y,-z'
'-x,y,-z'
'x,-y,z'
loop_
_atom_site_label
_atom_site_type_symbol
_atom_site_fract_x
_atom_site_fract_y
_atom_site_fract_z
_atom_site_occupancy
Sr1 Sr 0.000 0.000 0.000 1
Y1 Y 0.500 0.000 0.500 1
Y2 Y 0.500 0.500 0.000 1
Tm1 Tm 0.000 0.500 0.500 1
S1 S 0.250 0.000 0.739 1
S2 S 0.259 0.500 0.265 1
```

***

NiHgW2: optimized geometry, PBE.

Results
formation enthalpy at 0 K: 518.5 meV/atom
DOS at the Fermi energy: 5.54 states/eV/cell
size of the total moment: 0.000 μB per formula unit
crystal system: monoclinic
total energy: -59.8 eV/cell

Cell and atoms, written as CIF:
```
data_NiHgW2
_chemical_formula_sum 'Ni2 Hg2 W4'
_symmetry_space_group_name_H-M 'C 1 2/m 1'
_symmetry_Int_Tables_number 12
_cell_length_a 9.683
_cell_length_b 2.933
_cell_length_c 4.598
_cell_angle_alpha 90.00
_cell_angle_beta 102.31
_cell_angle_gamma 90.00
loop_
_symmetry_equiv_pos_as_xyz
'x,y,z'
'-x,-y,-z'
'-x,y,-z'
'x,-y,z'
'x+1/2,y+1/2,z'
'-x+1/2,-y+1/2,-z'
'-x+1/2,y+1/2,-z'
'x+1/2,-y+1/2,z'
loop_
_atom_site_label
_atom_site_type_symbol
_atom_site_fract_x
_atom_site_fract_y
_atom_site_fract_z
_atom_site_occupancy
Ni1 Ni 0.000 0.000 0.000 1
Hg1 Hg 0.000 0.500 0.500 1
W1 W 0.241 0.500 0.235 1
```

***

RbMgTl2Mo: optimized geometry, PBE.

Results
formation enthalpy at 0 K: 449.2 meV/atom
DOS at the Fermi energy: 2.95 states/eV/cell
size of the total moment: 0.786 μB per formula unit
crystal system: tetragonal
total energy: -15.9 eV/cell

Cell and atoms, written as CIF:
```
data_RbMgTl2Mo
_chemical_formula_sum 'Rb1 Mg1 Tl2 Mo1'
_symmetry_space_group_name_H-M 'P 4/m m m'
_symmetry_Int_Tables_number 123
_symmetry_space_group_name_Hall '-P 4 2'
_cell_length_a 5.464
_cell_length_b 5.464
_cell_length_c 5.448
_cell_angle_alpha 90.00
_cell_angle_beta 90.00
_cell_angle_gamma 90.00
loop_
_atom_site_label
_atom_site_type_symbol
_atom_site_fract_x
_atom_site_fract_y
_atom_site_fract_z
_atom_site_occupancy
Rb1 Rb 0.000 0.000 0.000 1
Mg1 Mg 0.500 0.500 0.000 1
Tl1 Tl 0.000 0.500 0.500 1
Mo1 Mo 0.500 0.500 0.500 1
```

***

Ce2PrSi2Pd2: optimized geometry, PBE.

Results
DOS at the Fermi energy: 25.18 states/eV/cell
size of the total moment: 0.883 μB per formula unit
crystal system: trigonal
energy relative to the elements, uncorrected: -0.784 eV/atom
total energy: -130.1 eV/cell

Cell and atoms, written as CIF:
```
data_Ce2PrSi2Pd2
_chemical_formula_sum 'Ce6 Pr3 Si6 Pd6'
_symmetry_space_group_name_H-M 'R -3 m'
_symmetry_Int_Tables_number 166
_symmetry_space_group_name_Hall '-R 3 2"'
_cell_length_a 4.3304
_cell_length_b 4.3304
_cell_length_c 27.4680
_cell_angle_alpha 90.00
_cell_angle_beta 90.00
_cell_angle_gamma 120.00
loop_
_atom_site_label
_atom_site_type_symbol
_atom_site_fract_x
_atom_site_fract_y
_atom_site_fract_z
_atom_site_occupancy
Ce1 Ce 0.0000 0.0000 0.1396 1
Pr1 Pr 0.0000 0.0000 0.0000 1
Si1 Si 0.0000 0.0000 0.2572 1
Pd1 Pd 0.0000 0.0000 0.4083 1
```